A relaxed Mg2ReTc crystal. Source: the Alexandria database, functional GGA-PBE.

Properties
D(E_F) = 0.990 states/eV per atom
ΔH_f (0 K) = 0.760 eV/atom

Cell lengths 6.380, 6.380, 6.380 Å; angles 90.00, 90.00, 90.00 degrees
Positions (direct):
1 Mg 0.250 0.250 0.250
2 Mg 0.250 0.250 0.750
3 Mg 0.250 0.750 0.250
4 Mg 0.250 0.750 0.750
5 Mg 0.750 0.250 0.250
6 Mg 0.750 0.250 0.750
7 Mg 0.750 0.750 0.250
8 Mg 0.750 0.750 0.750
9 Re 0.000 0.000 0.000
10 Re 0.000 0.500 0.500
11 Re 0.500 0.000 0.500
12 Re 0.500 0.500 0.000
13 Tc 0.000 0.000 0.500
14 Tc 0.000 0.500 0.000
15 Tc 0.500 0.000 0.000
16 Tc 0.500 0.500 0.500

A relaxed InHO2 crystal. Source: the Alexandria database, functional GGA-PBE.

Properties
D(E_F) = 0.000 states/eV per atom
DFT total energy = -4.62 eV per atom

Cell lengths 4.341, 4.341, 9.042 Å; angles 90.00, 90.00, 90.00 degrees
Positions (direct):
1 In 0.000 0.000 0.000
2 In 0.000 0.500 0.250
3 In 0.500 0.000 0.750
4 In 0.500 0.500 0.500
5 H 0.000 0.000 0.500
6 H 0.000 0.500 0.750
7 H 0.500 0.000 0.250
8 H 0.500 0.500 0.000
9 O 0.181 0.250 0.625
10 O 0.250 0.681 0.875
11 O 0.250 0.819 0.375
12 O 0.319 0.250 0.125
13 O 0.681 0.750 0.125
14 O 0.750 0.181 0.375
15 O 0.750 0.319 0.875
16 O 0.819 0.750 0.625

A relaxed Ac2Mg12Pt7 crystal. Source: the Alexandria database, functional GGA-PBE.

Properties
D(E_F) = 0.483 states/eV per atom
ΔH_f (0 K) = -0.784 eV/atom

Cell lengths 10.941, 10.941, 4.175 Å; angles 90.00, 90.00, 120.00 degrees
Positions (direct):
1 Ac 0.000 0.000 0.000
2 Ac 0.333 0.667 0.500
3 Mg 0.056 0.294 0.500
4 Mg 0.092 0.713 0.000
5 Mg 0.238 0.944 0.500
6 Mg 0.287 0.380 0.000
7 Mg 0.391 0.172 0.000
8 Mg 0.540 0.421 0.500
9 Mg 0.579 0.119 0.500
10 Mg 0.620 0.908 0.000
11 Mg 0.706 0.762 0.500
12 Mg 0.780 0.609 0.000
13 Mg 0.828 0.220 0.000
14 Mg 0.881 0.460 0.500
15 Pt 0.083 0.462 0.000
16 Pt 0.250 0.203 0.500
17 Pt 0.379 0.917 0.000
18 Pt 0.538 0.621 0.000
19 Pt 0.667 0.333 0.000
20 Pt 0.797 0.048 0.500
21 Pt 0.952 0.750 0.500

A relaxed Be2ZnCuS crystal. Source: the Alexandria database, functional GGA-PBE.

Properties
D(E_F) = 0.702 states/eV per atom
formation energy (no corrections) = 942 meV per atom

Cell lengths 4.178, 4.178, 4.589 Å; angles 90.00, 90.00, 90.00 degrees
Positions (direct):
1 Be 0.000 0.500 0.000
2 Be 0.500 0.000 0.000
3 Zn 0.000 0.000 0.000
4 Cu 0.000 0.000 0.500
5 S 0.500 0.500 0.500

A relaxed CsRbLi2Pb crystal. Source: the Alexandria database, functional GGA-PBE.

Properties
D(E_F) = 0.189 states/eV per atom
ΔH_f (0 K) = -0.014 eV/atom

Cell lengths 5.749, 5.749, 6.949 Å; angles 90.00, 90.00, 90.00 degrees
Positions (direct):
1 Cs 0.000 0.000 0.000
2 Rb 0.500 0.500 0.000
3 Li 0.000 0.500 0.500
4 Li 0.500 0.000 0.500
5 Pb 0.500 0.500 0.500

A relaxed KOs2Rh crystal. Source: the Alexandria database, functional GGA-PBE.

Properties
D(E_F) = 0.936 states/eV per atom
ΔH_f (0 K) = 0.769 eV/atom

Cell lengths 2.746, 2.746, 30.961 Å; angles 90.00, 90.00, 120.00 degrees
Positions (direct):
1 K 0.000 0.000 0.000
2 K 0.333 0.667 0.667
3 K 0.667 0.333 0.333
4 Os 0.000 0.000 0.237
5 Os 0.000 0.000 0.763
6 Os 0.333 0.667 0.429
7 Os 0.333 0.667 0.904
8 Os 0.667 0.333 0.096
9 Os 0.667 0.333 0.571
10 Rh 0.000 0.000 0.500
11 Rh 0.333 0.667 0.167
12 Rh 0.667 0.333 0.833

A relaxed CeNpSi3 crystal. Source: the Alexandria database, functional GGA-PBE.

Properties
D(E_F) = 2.358 states/eV per atom
formation energy (no corrections) = -407 meV per atom

Cell lengths 12.598, 12.598, 3.991 Å; angles 90.00, 90.00, 161.37 degrees
Positions (direct):
1 Ce 0.204 0.796 0.750
2 Ce 0.796 0.204 0.250
3 Np 0.068 0.932 0.250
4 Np 0.932 0.068 0.750
5 Si 0.331 0.669 0.750
6 Si 0.384 0.616 0.250
7 Si 0.477 0.523 0.250
8 Si 0.523 0.477 0.750
9 Si 0.616 0.384 0.750
10 Si 0.669 0.331 0.250

A relaxed Ac2Mg5Cu4 crystal. Source: the Alexandria database, functional GGA-PBE.

Properties
D(E_F) = 0.546 states/eV per atom
ΔH_f (0 K) = -0.073 eV/atom

Cell lengths 9.733, 8.878, 5.809 Å; angles 80.05, 63.95, 36.00 degrees
Positions (direct):
1 Ac 0.135 0.135 0.865
2 Ac 0.865 0.865 0.135
3 Mg 0.000 0.000 0.500
4 Mg 0.250 0.250 0.250
5 Mg 0.500 0.500 0.000
6 Mg 0.500 0.500 0.500
7 Mg 0.750 0.750 0.750
8 Cu 0.228 0.505 0.495
9 Cu 0.495 0.772 0.228
10 Cu 0.505 0.228 0.772
11 Cu 0.772 0.495 0.505

A relaxed TaAlMo3 crystal. Source: the Alexandria database, functional GGA-PBE.

Properties
D(E_F) = 1.133 states/eV per atom
ΔH_f (0 K) = 1.347 eV/atom

Cell lengths 4.510, 4.510, 4.510 Å; angles 90.00, 90.00, 90.00 degrees
Positions (direct):
1 Ta 0.000 0.000 0.000
2 Al 0.500 0.500 0.500
3 Mo 0.000 0.500 0.500
4 Mo 0.500 0.000 0.500
5 Mo 0.500 0.500 0.000

A relaxed Cs2AlBr2F4 crystal. Source: the Alexandria database, functional GGA-PBE.

Properties
D(E_F) = 0.003 states/eV per atom
formation energy (no corrections) = -2430 meV per atom

Cell lengths 6.686, 6.686, 6.686 Å; angles 113.88, 113.88, 100.98 degrees
Positions (direct):
1 Cs 0.250 0.750 0.500
2 Cs 0.750 0.250 0.500
3 Al 0.000 0.000 0.000
4 Br 0.336 0.336 0.000
5 Br 0.664 0.664 0.000
6 F 0.171 0.171 0.342
7 F 0.171 0.829 0.000
8 F 0.829 0.171 0.000
9 F 0.829 0.829 0.658

A relaxed PmTlAgPt crystal. Source: the Alexandria database, functional GGA-PBE.

Properties
D(E_F) = 0.608 states/eV per atom
ΔH_f (0 K) = -0.456 eV/atom

Cell lengths 7.062, 7.062, 7.062 Å; angles 90.00, 90.00, 90.00 degrees
Positions (direct):
1 Pm 0.000 0.000 0.000
2 Pm 0.000 0.500 0.500
3 Pm 0.500 0.000 0.500
4 Pm 0.500 0.500 0.000
5 Tl 0.000 0.000 0.500
6 Tl 0.000 0.500 0.000
7 Tl 0.500 0.000 0.000
8 Tl 0.500 0.500 0.500
9 Ag 0.250 0.250 0.250
10 Ag 0.250 0.750 0.750
11 Ag 0.750 0.250 0.750
12 Ag 0.750 0.750 0.250
13 Pt 0.250 0.250 0.750
14 Pt 0.250 0.750 0.250
15 Pt 0.750 0.250 0.250
16 Pt 0.750 0.750 0.750

A relaxed Mg3CrTe crystal. Source: the Alexandria database, functional GGA-PBE.

Properties
D(E_F) = 0.708 states/eV per atom
formation energy (no corrections) = 583 meV per atom

Cell lengths 5.245, 5.245, 5.245 Å; angles 90.00, 90.00, 90.00 degrees
Positions (direct):
1 Mg 0.000 0.000 0.500
2 Mg 0.000 0.500 0.000
3 Mg 0.500 0.000 0.000
4 Cr 0.000 0.000 0.000
5 Te 0.500 0.500 0.500

A relaxed TiGaCo5 crystal. Source: the Alexandria database, functional GGA-PBE.

Properties
D(E_F) = 1.124 states/eV per atom
ΔH_f (0 K) = 0.130 eV/atom

Cell lengths 3.959, 3.959, 5.669 Å; angles 90.00, 90.00, 90.00 degrees
Positions (direct):
1 Ti 0.000 0.000 0.000
2 Ga 0.500 0.500 0.500
3 Co 0.000 0.000 0.500
4 Co 0.000 0.500 0.244
5 Co 0.000 0.500 0.756
6 Co 0.500 0.000 0.244
7 Co 0.500 0.000 0.756

A relaxed Li2CuN crystal. Source: the Alexandria database, functional GGA-PBE.

Properties
D(E_F) = 0.041 states/eV per atom
formation energy (no corrections) = -265 meV per atom

Cell lengths 7.001, 4.967, 5.202 Å; angles 90.00, 90.00, 90.00 degrees
Positions (direct):
1 Li 0.065 0.139 0.250
2 Li 0.065 0.361 0.750
3 Li 0.380 0.250 0.000
4 Li 0.380 0.250 0.500
5 Li 0.620 0.750 0.000
6 Li 0.620 0.750 0.500
7 Li 0.935 0.639 0.250
8 Li 0.935 0.861 0.750
9 Cu 0.247 0.750 0.000
10 Cu 0.247 0.750 0.500
11 Cu 0.753 0.250 0.000
12 Cu 0.753 0.250 0.500
13 N 0.232 0.021 0.750
14 N 0.232 0.479 0.250
15 N 0.768 0.521 0.750
16 N 0.768 0.979 0.250

A relaxed HoEr4Cd crystal. Source: the Alexandria database, functional GGA-PBE.

Properties
D(E_F) = 1.431 states/eV per atom
ΔH_f (0 K) = -0.088 eV/atom

Cell lengths 3.523, 3.523, 14.059 Å; angles 90.00, 90.00, 90.00 degrees
Positions (direct):
1 Ho 0.000 0.000 0.000
2 Er 0.000 0.000 0.352
3 Er 0.000 0.000 0.648
4 Er 0.500 0.500 0.176
5 Er 0.500 0.500 0.824
6 Cd 0.500 0.500 0.500

A relaxed AcBeZn3 crystal. Source: the Alexandria database, functional GGA-PBE.

Properties
D(E_F) = 0.739 states/eV per atom
ΔH_f (0 K) = -0.021 eV/atom

Cell lengths 4.639, 4.639, 4.639 Å; angles 90.00, 90.00, 90.00 degrees
Positions (direct):
1 Ac 0.000 0.000 0.000
2 Be 0.500 0.500 0.500
3 Zn 0.000 0.500 0.500
4 Zn 0.500 0.000 0.500
5 Zn 0.500 0.500 0.000

A relaxed Nd4YHo4 crystal. Source: the Alexandria database, functional GGA-PBE.

Properties
D(E_F) = 1.461 states/eV per atom
ΔH_f (0 K) = 0.018 eV/atom

Cell lengths 8.055, 8.055, 8.055 Å; angles 95.71, 95.71, 143.23 degrees
Positions (direct):
1 Nd 0.167 0.167 0.335
2 Nd 0.167 0.833 0.000
3 Nd 0.833 0.167 0.000
4 Nd 0.833 0.833 0.665
5 Y 0.500 0.500 0.000
6 Ho 0.165 0.500 0.665
7 Ho 0.500 0.165 0.665
8 Ho 0.500 0.835 0.335
9 Ho 0.835 0.500 0.335

A relaxed SmDyCuAu crystal. Source: the Alexandria database, functional GGA-PBE.

Properties
D(E_F) = 0.751 states/eV per atom
ΔH_f (0 K) = -0.510 eV/atom

Cell lengths 7.170, 7.170, 7.170 Å; angles 90.00, 90.00, 90.00 degrees
Positions (direct):
1 Sm 0.000 0.000 0.000
2 Sm 0.000 0.500 0.500
3 Sm 0.500 0.000 0.500
4 Sm 0.500 0.500 0.000
5 Dy 0.000 0.000 0.500
6 Dy 0.000 0.500 0.000
7 Dy 0.500 0.000 0.000
8 Dy 0.500 0.500 0.500
9 Cu 0.250 0.250 0.250
10 Cu 0.250 0.750 0.750
11 Cu 0.750 0.250 0.750
12 Cu 0.750 0.750 0.250
13 Au 0.250 0.250 0.750
14 Au 0.250 0.750 0.250
15 Au 0.750 0.250 0.250
16 Au 0.750 0.750 0.750

A relaxed La5Sc4Au4 crystal. Source: the Alexandria database, functional GGA-PBE.

Properties
D(E_F) = 1.099 states/eV per atom
ΔH_f (0 K) = -0.501 eV/atom

Cell lengths 9.719, 9.719, 9.719 Å; angles 92.28, 92.28, 157.00 degrees
Positions (direct):
1 La 0.000 0.000 0.000
2 La 0.287 0.645 0.932
3 La 0.355 0.287 0.642
4 La 0.645 0.713 0.358
5 La 0.713 0.355 0.068
6 Sc 0.116 0.428 0.544
7 Sc 0.428 0.884 0.312
8 Sc 0.572 0.116 0.688
9 Sc 0.884 0.572 0.456
10 Au 0.044 0.761 0.805
11 Au 0.239 0.044 0.283
12 Au 0.761 0.956 0.717
13 Au 0.956 0.239 0.195

A relaxed Ba5BiPb4O15 crystal. Source: the Alexandria database, functional GGA-PBE.

Properties
D(E_F) = 0.047 states/eV per atom
formation energy (no corrections) = -1723 meV per atom

Cell lengths 22.185, 22.185, 6.216 Å; angles 98.02, 98.02, 15.94 degrees
Positions (direct):
1 Ba 0.050 0.050 0.042
2 Ba 0.149 0.149 0.152
3 Ba 0.250 0.250 0.247
4 Ba 0.351 0.351 0.357
5 Ba 0.450 0.450 0.442
6 Ba 0.550 0.550 0.558
7 Ba 0.649 0.649 0.643
8 Ba 0.750 0.750 0.753
9 Ba 0.851 0.851 0.848
10 Ba 0.950 0.950 0.958
11 Bi 0.300 0.300 0.801
12 Bi 0.700 0.700 0.199
13 Pb 0.000 0.000 0.500
14 Pb 0.100 0.100 0.598
15 Pb 0.200 0.200 0.700
16 Pb 0.401 0.401 0.899
17 Pb 0.500 0.500 0.000
18 Pb 0.599 0.599 0.101
19 Pb 0.800 0.800 0.300
20 Pb 0.900 0.900 0.402
21 O 0.045 0.540 0.040
22 O 0.050 0.050 0.479
23 O 0.058 0.554 0.561
24 O 0.142 0.641 0.643
25 O 0.150 0.150 0.714
26 O 0.157 0.656 0.157
27 O 0.242 0.742 0.242
28 O 0.250 0.250 0.689
29 O 0.258 0.758 0.758
30 O 0.344 0.843 0.843
31 O 0.349 0.349 0.914
32 O 0.359 0.858 0.357
33 O 0.446 0.942 0.439
34 O 0.450 0.450 0.879
35 O 0.460 0.955 0.960
36 O 0.540 0.045 0.040
37 O 0.550 0.550 0.121
38 O 0.554 0.058 0.561
39 O 0.641 0.142 0.643
40 O 0.651 0.651 0.086
41 O 0.656 0.157 0.157
42 O 0.742 0.242 0.242
43 O 0.750 0.750 0.311
44 O 0.758 0.258 0.758
45 O 0.843 0.344 0.843
46 O 0.850 0.850 0.286
47 O 0.858 0.359 0.357
48 O 0.942 0.446 0.439
49 O 0.950 0.950 0.521
50 O 0.955 0.460 0.960

A relaxed Ac2NdMgHg6 crystal. Source: the Alexandria database, functional GGA-PBE.

Properties
D(E_F) = 0.741 states/eV per atom
ΔH_f (0 K) = -0.358 eV/atom

Cell lengths 4.525, 8.240, 8.270 Å; angles 113.07, 90.32, 90.31 degrees
Positions (direct):
1 Ac 0.006 0.222 0.279
2 Ac 0.994 0.778 0.721
3 Nd 0.000 0.500 0.000
4 Mg 0.500 0.000 0.500
5 Hg 0.005 0.174 0.672
6 Hg 0.491 0.839 0.061
7 Hg 0.495 0.559 0.338
8 Hg 0.505 0.441 0.662
9 Hg 0.509 0.161 0.939
10 Hg 0.995 0.826 0.328

A relaxed BaNaCoAu2 crystal. Source: the Alexandria database, functional GGA-PBE.

Properties
D(E_F) = 0.908 states/eV per atom
ΔH_f (0 K) = 0.122 eV/atom

Cell lengths 5.112, 5.112, 5.181 Å; angles 90.00, 90.00, 90.00 degrees
Positions (direct):
1 Ba 0.000 0.000 0.000
2 Na 0.500 0.500 0.000
3 Co 0.000 0.000 0.500
4 Au 0.000 0.500 0.500
5 Au 0.500 0.000 0.500

A relaxed TbEuGaRh crystal. Source: the Alexandria database, functional GGA-PBE.

Properties
D(E_F) = 1.500 states/eV per atom
ΔH_f (0 K) = -0.502 eV/atom

Cell lengths 7.126, 7.126, 7.126 Å; angles 90.00, 90.00, 90.00 degrees
Positions (direct):
1 Tb 0.000 0.000 0.000
2 Tb 0.000 0.500 0.500
3 Tb 0.500 0.000 0.500
4 Tb 0.500 0.500 0.000
5 Eu 0.000 0.000 0.500
6 Eu 0.000 0.500 0.000
7 Eu 0.500 0.000 0.000
8 Eu 0.500 0.500 0.500
9 Ga 0.250 0.250 0.250
10 Ga 0.250 0.750 0.750
11 Ga 0.750 0.250 0.750
12 Ga 0.750 0.750 0.250
13 Rh 0.250 0.250 0.750
14 Rh 0.250 0.750 0.250
15 Rh 0.750 0.250 0.250
16 Rh 0.750 0.750 0.750

no.,total magnetic moment (μB per formula unit)
1,2.9
2,0.0
3,0.0
4,0.0
5,0.0
6,0.0
7,4.9
8,0.0
9,0.0
10,1.0
11,0.0
12,4.5
13,4.3
14,0.0
15,0.0
16,0.0
17,0.0
18,0.0
19,0.0
20,0.0
21,0.0
22,1.0
23,6.9